<w>
{
  "formula": "TiBe3Ge",
  "functional": "PBE",
  "state": "relaxed",
  "dos_ef_per_ev_cell": 1.5,
  "vol_a3_per_atom": 14.304,
  "lattice": [[-0.152, -4.078, -0.757], [3.922, 0.106, -1.355], [1.351, -0.764, 3.850]],
  "species": ["Be", "Be", "Be", "Ge", "Ti"],
  "frac_coords": [[0.000, 0.500, 0.000], [0.000, 0.000, 0.500], [0.500, 0.000, 0.000], [0.000, 0.000, 0.000], [0.500, 0.500, 0.500]]
}

<x>
{
  "formula": "TiBe3Ge",
  "functional": "PBE",
  "state": "relaxed",
  "dos_ef_per_ev_cell": 4.4,
  "vol_a3_per_atom": 18.276,
  "lattice": [[-2.492, 2.342, -2.931], [-3.696, -2.138, 1.435], [-0.645, 3.199, 3.105]],
  "species": ["Be", "Be", "Be", "Ge", "Ti"],
  "frac_coords": [[0.000, 0.500, 0.000], [0.000, 0.000, 0.500], [0.500, 0.000, 0.000], [0.500, 0.500, 0.500], [0.000, 0.000, 0.000]]
}

Of them, the most stable is <w> and the least stable is <x>.

<w>
{
  "formula": "BeTlGe2",
  "functional": "PBE",
  "state": "relaxed",
  "dos_ef_per_ev_cell": 3.4,
  "vol_a3_per_atom": 22.426,
  "lattice": [[-4.428, -2.260, -0.478], [0.514, -1.973, 4.560], [-5.199, 3.634, 4.895]],
  "species": ["Be", "Be", "Tl", "Tl", "Ge", "Ge", "Ge", "Ge"],
  "frac_coords": [[0.500, 0.500, 0.000], [0.250, 0.750, 0.500], [0.000, 0.000, 0.000], [0.750, 0.250, 0.500], [0.500, 0.125, 0.250], [0.250, 0.625, 0.250], [0.375, 0.500, 0.750], [0.875, 0.750, 0.750]]
}

<x>
{
  "formula": "BeTlGe2",
  "functional": "PBE",
  "state": "relaxed",
  "dos_ef_per_ev_cell": 2.0,
  "vol_a3_per_atom": 20.063,
  "lattice": [[2.372, -4.185, 0.545], [-2.459, -4.084, 0.846], [-0.285, -3.408, -3.427]],
  "species": ["Be", "Tl", "Ge", "Ge"],
  "frac_coords": [[0.000, 0.000, 0.000], [0.500, 0.500, 0.500], [0.250, 0.250, 0.250], [0.750, 0.750, 0.750]]
}

Of them, the most stable is <w> and the least stable is <x>.

<w>
{
  "formula": "Be3VGe",
  "functional": "PBE",
  "state": "relaxed",
  "dos_ef_per_ev_cell": 4.8,
  "vol_a3_per_atom": 15.986,
  "lattice": [[-0.082, -1.172, 4.144], [4.299, 0.223, 0.149], [-0.255, 4.139, 1.165]],
  "species": ["Be", "Be", "Be", "Ge", "V"],
  "frac_coords": [[0.000, 0.500, 0.000], [0.000, 0.000, 0.500], [0.500, 0.000, 0.000], [0.500, 0.500, 0.500], [0.000, 0.000, 0.000]]
}

<x>
{
  "formula": "Be3VGe",
  "functional": "PBE",
  "state": "relaxed",
  "dos_ef_per_ev_cell": 4.6,
  "vol_a3_per_atom": 14.249,
  "lattice": [[-3.970, -0.913, -0.769], [1.167, -2.406, -3.168], [0.252, -3.250, 2.562]],
  "species": ["Be", "Be", "Be", "Ge", "V"],
  "frac_coords": [[0.000, 0.500, 0.000], [0.000, 0.000, 0.500], [0.500, 0.000, 0.000], [0.000, 0.000, 0.000], [0.500, 0.500, 0.500]]
}

Of them, the most stable is <x> and the least stable is <w>.

<w>
{
  "formula": "BeV3Ge",
  "functional": "PBE",
  "state": "relaxed",
  "dos_ef_per_ev_cell": 7.2,
  "vol_a3_per_atom": 12.988,
  "lattice": [[-3.331, 3.330, 0.467], [-3.517, -3.822, 2.169], [3.407, 2.933, 3.388]],
  "species": ["Be", "Be", "V", "V", "V", "V", "V", "V", "Ge", "Ge"],
  "frac_coords": [[0.000, 0.000, 0.000], [0.500, 0.000, 0.000], [0.250, 0.812, 0.188], [0.750, 0.188, 0.812], [0.250, 0.812, 0.624], [0.750, 0.188, 0.376], [0.250, 0.376, 0.188], [0.750, 0.624, 0.812], [0.250, 0.334, 0.666], [0.750, 0.666, 0.334]]
}

<x>
{
  "formula": "BeV3Ge",
  "functional": "PBE",
  "state": "relaxed",
  "dos_ef_per_ev_cell": 5.3,
  "vol_a3_per_atom": 13.678,
  "lattice": [[-0.670, -3.465, 2.066], [3.899, -1.095, -0.571], [1.037, 1.876, 3.483]],
  "species": ["Be", "Ge", "V", "V", "V"],
  "frac_coords": [[0.000, 0.000, 0.000], [0.500, 0.500, 0.500], [0.000, 0.500, 0.000], [0.000, 0.000, 0.500], [0.500, 0.000, 0.000]]
}

Of them, the most stable is <w> and the least stable is <x>.

<w>
{
  "formula": "Be3GeW",
  "functional": "PBE",
  "state": "relaxed",
  "dos_ef_per_ev_cell": 4.3,
  "vol_a3_per_atom": 13.513,
  "lattice": [[-4.016, 0.542, -0.411], [-0.296, -3.608, -1.866], [-0.613, -1.810, 3.597]],
  "species": ["Be", "Be", "Be", "Ge", "W"],
  "frac_coords": [[0.000, 0.500, 0.000], [0.000, 0.000, 0.500], [0.500, 0.000, 0.000], [0.000, 0.000, 0.000], [0.500, 0.500, 0.500]]
}

<x>
{
  "formula": "Be3GeW",
  "functional": "PBE",
  "state": "relaxed",
  "dos_ef_per_ev_cell": 2.2,
  "vol_a3_per_atom": 17.023,
  "lattice": [[4.399, 0.000, 0.000], [0.000, 4.399, 0.000], [0.000, 0.000, 4.399]],
  "species": ["Be", "Be", "Be", "Ge", "W"],
  "frac_coords": [[0.000, 0.500, 0.000], [0.000, 0.000, 0.500], [0.500, 0.000, 0.000], [0.500, 0.500, 0.500], [0.000, 0.000, 0.000]]
}

Of them, the most stable is <w> and the least stable is <x>.

<w>
{
  "formula": "Y2BeGe",
  "functional": "PBE",
  "state": "relaxed",
  "dos_ef_per_ev_cell": 3.8,
  "vol_a3_per_atom": 27.340,
  "lattice": [[3.580, 0.000, 0.000], [1.790, 3.100, 0.000], [1.790, 1.033, 9.854]],
  "species": ["Y", "Y", "Be", "Ge"],
  "frac_coords": [[0.098, 0.098, 0.706], [0.902, 0.902, 0.294], [0.000, 0.000, 0.000], [0.500, 0.500, 0.500]]
}

<x>
{
  "formula": "Y2BeGe",
  "functional": "PBE",
  "state": "relaxed",
  "dos_ef_per_ev_cell": 2.4,
  "vol_a3_per_atom": 21.171,
  "lattice": [[0.000, 3.485, 3.485], [3.485, 0.000, 3.485], [3.485, 3.485, 0.000]],
  "species": ["Y", "Y", "Be", "Ge"],
  "frac_coords": [[0.250, 0.250, 0.250], [0.750, 0.750, 0.750], [0.000, 0.000, 0.000], [0.500, 0.500, 0.500]]
}

Of them, the most stable is <x> and the least stable is <w>.